No. 1
Below is crystalline Li2TlPSe4 at its relaxed geometry, with properties calculated at the PBE-GGA level.

Lattice parameters (Å, degrees): 6.4714 6.4714 6.4714 115.40 115.40 98.17
Closest atoms and distances in Å follow each position.
Sites, in units of the cell vectors:
Li 0.2500 0.7500 0.5000  4 Se 2.66
Li 0.7500 0.2500 0.5000  4 Se 2.66
Tl 0.0000 0.0000 0.0000  8 Se 3.29-3.50
P 0.5000 0.5000 0.0000  4 Se 2.24
Se 0.1621 0.5400 0.0000  1 P 2.24
Se 0.4600 0.4600 0.6221  1 P 2.24
Se 0.5400 0.1621 0.0000  1 P 2.24
Se 0.8379 0.8379 0.3779  1 P 2.24

Size of the total moment (μB per formula unit): 0.00
Crystal system: tetragonal
Space-group type: I-42m, No. 121
Formation energy without anion corrections (eV per atom): -0.634
Raw total energy (eV per atom): -3.826

---

No. 2
Below is crystalline AlN at its relaxed geometry, with properties calculated at the PBE-GGA level.

Lattice parameters (Å, degrees): 8.8157 3.0139 5.5326 90.00 90.00 90.00
Closest atoms and distances in Å follow each position.
Sites, in units of the cell vectors:
Al 0.0000 0.0138 0.0000  4 N 1.90-1.92
Al 0.2077 0.3661 0.7439  4 N 1.89-2.05
Al 0.2923 0.6339 0.2439  4 N 1.89-2.05
Al 0.5000 0.9862 0.5000  4 N 1.90-1.92
Al 0.7077 0.6339 0.2439  4 N 1.89-2.05
Al 0.7923 0.3661 0.7439  4 N 1.89-2.05
N 0.0000 0.5085 0.7886  4 Al 1.90-1.92
N 0.2042 0.1351 0.0928  4 Al 1.89-2.05
N 0.2958 0.8649 0.5928  4 Al 1.89-2.05
N 0.5000 0.4915 0.2886  4 Al 1.90-1.92
N 0.7042 0.8649 0.5928  4 Al 1.89-2.05
N 0.7958 0.1351 0.0928  4 Al 1.89-2.05

Size of the total moment (μB per formula unit): 0.00
Crystal system: orthorhombic
Space-group type: Pmn2_1, No. 31
Formation energy without anion corrections (eV per atom): -1.003
Raw total energy (eV per atom): -7.037
Fermi-level density of states (states/eV per atom): 0.0000

---

- Number 1 is which compound?
  Li2TlPSe4

---

Copy entry 2 word for word.
Below is crystalline AlN at its relaxed geometry, with properties calculated at the PBE-GGA level.

Lattice parameters (Å, degrees): 8.8157 3.0139 5.5326 90.00 90.00 90.00
Closest atoms and distances in Å follow each position.
Sites, in units of the cell vectors:
Al 0.0000 0.0138 0.0000  4 N 1.90-1.92
Al 0.2077 0.3661 0.7439  4 N 1.89-2.05
Al 0.2923 0.6339 0.2439  4 N 1.89-2.05
Al 0.5000 0.9862 0.5000  4 N 1.90-1.92
Al 0.7077 0.6339 0.2439  4 N 1.89-2.05
Al 0.7923 0.3661 0.7439  4 N 1.89-2.05
N 0.0000 0.5085 0.7886  4 Al 1.90-1.92
N 0.2042 0.1351 0.0928  4 Al 1.89-2.05
N 0.2958 0.8649 0.5928  4 Al 1.89-2.05
N 0.5000 0.4915 0.2886  4 Al 1.90-1.92
N 0.7042 0.8649 0.5928  4 Al 1.89-2.05
N 0.7958 0.1351 0.0928  4 Al 1.89-2.05

Size of the total moment (μB per formula unit): 0.00
Crystal system: orthorhombic
Space-group type: Pmn2_1, No. 31
Formation energy without anion corrections (eV per atom): -1.003
Raw total energy (eV per atom): -7.037
Fermi-level density of states (states/eV per atom): 0.0000

---

What did the second record say?
Below is crystalline AlN at its relaxed geometry, with properties calculated at the PBE-GGA level.

Lattice parameters (Å, degrees): 8.8157 3.0139 5.5326 90.00 90.00 90.00
Closest atoms and distances in Å follow each position.
Sites, in units of the cell vectors:
Al 0.0000 0.0138 0.0000  4 N 1.90-1.92
Al 0.2077 0.3661 0.7439  4 N 1.89-2.05
Al 0.2923 0.6339 0.2439  4 N 1.89-2.05
Al 0.5000 0.9862 0.5000  4 N 1.90-1.92
Al 0.7077 0.6339 0.2439  4 N 1.89-2.05
Al 0.7923 0.3661 0.7439  4 N 1.89-2.05
N 0.0000 0.5085 0.7886  4 Al 1.90-1.92
N 0.2042 0.1351 0.0928  4 Al 1.89-2.05
N 0.2958 0.8649 0.5928  4 Al 1.89-2.05
N 0.5000 0.4915 0.2886  4 Al 1.90-1.92
N 0.7042 0.8649 0.5928  4 Al 1.89-2.05
N 0.7958 0.1351 0.0928  4 Al 1.89-2.05

Size of the total moment (μB per formula unit): 0.00
Crystal system: orthorhombic
Space-group type: Pmn2_1, No. 31
Formation energy without anion corrections (eV per atom): -1.003
Raw total energy (eV per atom): -7.037
Fermi-level density of states (states/eV per atom): 0.0000